1.
VASP calculation (PBE) on KNd after structural relaxation.

**DFT total energy**: -0.080 Ry/atom
**Symmetry**: F-43m (216)

a b c (Å): 5.369 5.369 5.369
angles (deg): 60.00 60.00 60.00
Each line ends with the local moment (μB).
Element x y z (fractional)
K 0.000 0.000 0.000  0.06
Nd 0.250 0.250 0.250  0.66


2.
VASP calculation (PBE) on CsKWSe2S after structural relaxation.

**DFT total energy**: -0.380 Ry/atom
**Symmetry**: P-1 (2)

a b c (Å): 7.186 7.956 8.797
angles (deg): 76.97 69.64 64.25
Element x y z (fractional)
Cs 0.315 0.584 0.313
Cs 0.685 0.416 0.687
K 0.100 0.194 0.132
K 0.900 0.806 0.868
S 0.267 0.994 0.474
S 0.733 0.006 0.526
Se 0.640 0.162 0.101
Se 0.819 0.631 0.258
Se 0.181 0.369 0.742
Se 0.360 0.838 0.899
W 0.619 0.946 0.338
W 0.381 0.054 0.662


Among the records above, which one has the lowest DFT total energy?
CsKWSe2S